A plane-wave DFT calculation with PBE+U was carried out for an optimized crystal structure of Nb2CoPb3O9.

Cell lengths 5.760, 5.760, 7.064 Å; angles 90.00, 90.00, 120.00 degrees
Sites, in units of the cell vectors:
Nb 0.333 0.667 0.184
Nb 0.667 0.333 0.816
Co 0.000 0.000 0.500
Pb 0.000 0.000 0.000
Pb 0.333 0.667 0.677
Pb 0.667 0.333 0.323
O 0.000 0.500 0.000
O 0.168 0.335 0.329
O 0.168 0.832 0.329
O 0.335 0.168 0.671
O 0.500 0.000 0.000
O 0.500 0.500 0.000
O 0.665 0.832 0.329
O 0.832 0.168 0.671
O 0.832 0.665 0.671

Spin magnetization   0.2000 μB per atom
DOS at the Fermi energy   0.29 states/eV per atom
V   13.5 Å³ per atom
Energy   -7.142 eV per atom